An optimized crystal structure of Ba2NaHPd. Source: Alexandria, functional PBE-GGA.

ρ in g cm⁻³: 4.77
Magnetic moment in Bohr magnetons per cell: 0.00
ΔE to the lowest computed polymorph in meV/atom: 72.7
Total energy in eV per atom: -2.931
Space-group type: P4/mmm

Cell: 5.8279 5.8279 4.1527 Å, 90.00 90.00 90.00°
Fractional coordinates of all 5 atoms:
H1 0.0000 0.0000 0.0000
Ba1 0.0000 0.5000 0.0000
Ba2 0.5000 0.0000 0.0000
Na1 0.5000 0.5000 0.5000
Pd1 0.0000 0.0000 0.5000